# 1
The following is a DFT calculation (PBE) of a geometry-optimized In2IrBr structure.

Values from the calculation:
* crystal system: orthorhombic
* energy above the lowest structure with this stoichiometry: 47 meV per atom
* uncorrected formation energy: -0.254 eV/f.u.

The structure in extended XYZ format:
```
4
Lattice="8.249 0.024 -0.060 7.585 3.242 -0.060 0.025 0.005 3.793" Properties=species:S:1:pos:R:3 pbc="T T T"
In 2.816 0.581 1.402
In 15.486 3.195 3.201
Ir 8.608 1.776 1.358
Br 12.737 2.628 3.221
```

# 2
The following is a DFT calculation (PBE) of a geometry-optimized AcTmBiAu structure.

Values from the calculation:
* crystal system: cubic
* total DFT energy (no corrections): -4.521 eV per atom

The structure in extended XYZ format:
```
4
Lattice="-2.898 -1.709 4.371 2.435 -3.037 3.908 0.973 2.173 4.975" Properties=species:S:1:pos:R:3 pbc="T T T"
Ac 0.128 -0.643 3.313
Au 0.000 0.000 0.000
Bi 0.255 -1.286 6.627
Tm 0.383 -1.929 9.940
```

# 3
The following is a DFT calculation (PBE) of a geometry-optimized BaYCo structure.

Values from the calculation:
* crystal system: cubic
* energy above the lowest structure with this stoichiometry: 1013 meV per atom

The structure in extended XYZ format:
```
3
Lattice="4.902 0.000 0.000 2.451 4.245 0.000 2.451 1.415 4.002" Properties=species:S:1:pos:R:3 pbc="T T T"
Ba 7.353 4.245 3.002
Y 4.902 2.830 2.001
Co 0.000 0.000 0.000
```

# 4
The following is a DFT calculation (PBE) of a geometry-optimized Th2TeSe structure.

Values from the calculation:
* crystal system: hexagonal
* energy above the lowest structure with this stoichiometry: 38 meV per atom
* uncorrected formation energy: -4.982 eV/f.u.

The structure in extended XYZ format:
```
8
Lattice="4.035 0.000 0.000 -2.017 3.494 0.000 0.000 0.000 16.518" Properties=species:S:1:pos:R:3 pbc="T T T"
Te 0.000 0.000 4.129
Te 0.000 0.000 12.388
Th 0.000 2.330 1.913
Th 2.017 1.165 10.172
Th 2.017 1.165 14.605
Th 0.000 2.330 6.346
Se 0.000 0.000 0.000
Se 0.000 0.000 8.259
```

# 5
The following is a DFT calculation (PBE) of a geometry-optimized PmHoC structure.

Values from the calculation:
* crystal system: tetragonal
* energy above the lowest structure with this stoichiometry: 518 meV per atom

The structure in extended XYZ format:
```
3
Lattice="3.213 0.000 0.000 0.000 3.213 0.000 -1.606 -1.606 6.161" Properties=species:S:1:pos:R:3 pbc="T T T"
Pm 1.606 1.606 5.522
Ho 1.606 1.606 2.741
C 0.000 0.000 4.058
```

# 6
The following is a DFT calculation (PBE) of a geometry-optimized Y2AlAg structure.

Values from the calculation:
* crystal system: orthorhombic
* total DFT energy (no corrections): -5.258 eV per atom

The structure in extended XYZ format:
```
8
Lattice="-1.449 -3.209 -0.760 3.371 -2.267 3.141 -6.601 1.112 7.888" Properties=species:S:1:pos:R:3 pbc="T T T"
Y 0.033 -0.430 1.753
Y -3.263 -0.724 9.276
Y -3.231 0.120 5.654
Y 0.002 -1.274 5.375
Ag -5.543 -1.218 7.171
Ag 0.865 -3.146 3.098
Al -2.377 -2.600 6.972
Al -2.302 -1.764 3.297
```

# 7
The following is a DFT calculation (PBE) of a geometry-optimized RuNCl2 structure.

Values from the calculation:
* crystal system: cubic
* energy above the lowest structure with this stoichiometry: 1584 meV per atom
* uncorrected formation energy: 6.934 eV/f.u.

The structure in extended XYZ format:
```
4
Lattice="-2.036 -1.820 3.263 -3.584 -2.189 -0.683 -0.015 -4.236 0.402" Properties=species:S:1:pos:R:3 pbc="T T T"
Cl -4.226 -6.184 2.237
Cl -1.409 -2.061 0.746
Ru -2.818 -4.122 1.491
N 0.000 0.000 0.000
```

# 8
The following is a DFT calculation (PBE) of a geometry-optimized PrSm4Er structure.

Values from the calculation:
* crystal system: orthorhombic
* energy above the lowest structure with this stoichiometry: 123 meV per atom

The structure in extended XYZ format:
```
12
Lattice="-2.942 6.348 0.803 0.118 -4.699 5.245 8.541 3.578 3.014" Properties=species:S:1:pos:R:3 pbc="T T T"
Sm -0.332 -0.589 3.914
Sm 1.081 2.493 1.843
Sm 3.012 4.544 4.076
Sm 4.635 2.734 7.218
Sm 2.704 0.683 4.985
Sm 6.048 5.816 5.148
Sm -0.285 3.290 4.769
Sm 6.002 1.936 4.293
Pr 5.981 -0.057 6.717
Pr -0.264 5.283 2.344
Er 0.000 0.000 0.000
Er 4.271 1.789 1.507
```

# 9
The following is a DFT calculation (PBE) of a geometry-optimized Li8Ag2Hg structure.

Values from the calculation:
* crystal system: monoclinic
* energy above the lowest structure with this stoichiometry: 0 meV per atom

The structure in extended XYZ format:
```
11
Lattice="-2.629 -2.429 -2.158 2.620 1.981 -5.423 5.250 -4.677 2.917" Properties=species:S:1:pos:R:3 pbc="T T T"
Ag 1.796 -3.762 -2.000
Ag 3.446 -1.362 -2.664
Li 2.506 -1.553 -5.353
Li 2.735 -3.571 0.689
Li 0.679 -1.489 -3.198
Li 1.624 -1.276 -0.541
Li 2.938 -6.042 -0.825
Li 4.563 -3.636 -1.466
Li 3.617 -3.848 -4.123
Li 2.303 0.918 -3.839
Hg -1.315 -1.215 -1.079
```

# 10
The following is a DFT calculation (PBE) of a geometry-optimized NaCdS2 structure.

Values from the calculation:
* crystal system: tetragonal
* uncorrected formation energy: -1.885 eV/f.u.

The structure in extended XYZ format:
```
8
Lattice="7.301 0.000 0.000 0.000 7.301 0.000 3.650 3.650 3.235" Properties=species:S:1:pos:R:3 pbc="T T T"
S 1.640 5.476 0.809
S 5.661 1.825 0.809
S 5.476 5.290 2.427
S 9.126 9.311 2.427
Cd 0.000 0.000 0.000
Cd 7.301 3.650 1.618
Na 3.650 3.650 0.000
Na 3.650 7.301 1.618
```

# 11
The following is a DFT calculation (PBE) of a geometry-optimized Ac5Ag2PtN structure.

Values from the calculation:
* crystal system: orthorhombic
* uncorrected formation energy: -5.582 eV/f.u.

The structure in extended XYZ format:
```
18
Lattice="-0.843 -2.730 -3.227 9.710 1.805 -1.186 3.077 -10.979 8.485" Properties=species:S:1:pos:R:3 pbc="T T T"
Ac 11.592 -8.095 3.819
Ac 9.686 -6.562 0.141
Ac 0.517 -4.402 0.710
Ac 4.070 -3.112 -1.310
Ac 3.814 -6.817 1.892
Ac 7.114 -3.912 1.450
Ac 5.641 -10.889 4.859
Ac 7.419 -7.170 4.128
Ac 6.641 0.224 -1.925
Ac 0.782 -0.076 -0.140
Pt 3.866 -0.151 -0.883
Pt 6.724 -6.923 1.221
Ag 7.363 -3.077 -2.200
Ag 3.448 -3.506 2.065
Ag 4.193 -7.444 5.202
Ag 8.987 -10.152 3.361
N 3.423 -11.463 5.924
N 9.592 -4.263 1.100
```

# 12
The following is a DFT calculation (PBE) of a geometry-optimized NaSr2PdPb structure.

Values from the calculation:
* crystal system: tetragonal
* total DFT energy (no corrections): -3.024 eV per atom

The structure in extended XYZ format:
```
5
Lattice="5.991 0.000 0.000 0.000 5.991 0.000 0.000 0.000 5.265" Properties=species:S:1:pos:R:3 pbc="T T T"
Pb 0.000 0.000 2.632
Sr 2.995 0.000 0.000
Sr 0.000 2.995 0.000
Na 2.995 2.995 2.632
Pd 0.000 0.000 0.000
```